Compound: Sr3P4Pb
Source: Alexandria
Functional: PBE
Structure: optimized geometry

Cell lengths 6.2736, 6.2736, 17.3392 Å; angles 90.00, 90.00, 141.80 degrees
Closest atoms and distances in Å follow each position.
Element x y z (fractional)
P: 0.1736 0.8264 0.3866  2 P 2.35
Sr: 0.1297 0.8703 0.5702  8 P 3.20-3.35
P: 0.5934 0.4066 0.4231  2 P 2.35
Sr: 0.8703 0.1297 0.4298  8 P 3.20-3.35
Sr: 0.8703 0.1297 0.0702  8 P 3.20-3.35
P: 0.1736 0.8264 0.1134  2 P 2.35
P: 0.4066 0.5934 0.5769  2 P 2.35
Sr: 0.5998 0.4002 0.2500  6 P 3.00-3.25, 1 Pb 3.25
Sr: 0.4002 0.5998 0.7500  6 P 3.00-3.25, 1 Pb 3.25
Sr: 0.1297 0.8703 0.9298  8 P 3.20-3.35
P: 0.4066 0.5934 0.9231  2 P 2.35
Pb: 0.3258 0.6742 0.2500  2 P 2.98, 1 Sr 3.25
P: 0.8264 0.1736 0.8866  2 P 2.35
Pb: 0.6742 0.3258 0.7500  2 P 2.98, 1 Sr 3.25
P: 0.8264 0.1736 0.6134  2 P 2.35
P: 0.5934 0.4066 0.0769  2 P 2.35

density: 4674 kg/m³
Fermi-level density of states: 5.09 states/eV/f.u.
formation enthalpy at 0 K: -582 meV per atom
space group: Cmcm (63)
electronic total energy: -4.38 eV per atom



Compound: SrP2Pb
Source: Alexandria
Functional: PBE
Structure: optimized geometry

Cell lengths 6.1450, 6.1450, 6.1450 Å; angles 146.55, 130.56, 61.01 degrees
Closest atoms and distances in Å follow each position.
Element x y z (fractional)
P: 0.7882 0.2882 0.5000  2 P 2.42
Sr: 0.2423 0.7423 0.5000  6 P 3.16-3.34, 4 Pb 3.44-3.48
Pb: 0.5259 0.5259 0.0000  8 P 3.24-3.60, 4 Sr 3.44-3.48, 2 Pb 3.54
P: 0.9437 0.9437 0.0000  2 P 2.42

density: 6156 kg/m³
Fermi-level density of states: 1.85 states/eV/f.u.
formation enthalpy at 0 K: -243 meV per atom
space group: Imm2 (44)
electronic total energy: -4.30 eV per atom